The following is a PBE-GGA calculation of a relaxed Pr2SmEr crystal, from the Alexandria database.

Cell and atoms, written as POSCAR:
```
Pr2SmEr
1.0
-2.5744 2.5811 5.1425
2.5744 -2.5811 5.1425
2.5744 2.5811 -5.1425
Pr Sm Er
2 1 1
direct
0.0000 0.0000 0.0000
0.7494 0.2494 0.5000
0.4994 0.4994 0.0000
0.2497 0.7497 0.5000
```

Properties
The total magnetic moment is 0.00 μB per formula unit. The calculated total energy is -4.692 eV/atom. Its crystal system is orthorhombic. As for the relative energy among the computed polymorphs: 5 meV/atom.


The following is a PBE-GGA calculation of a relaxed Pr4SmEr3 crystal, from the Alexandria database.

Cell and atoms, written as POSCAR:
```
Pr4SmEr3
1.0
11.6779 0.0000 0.0000
0.0000 7.3541 0.0000
0.0000 0.0000 6.3339
Pr Sm Er
8 2 6
direct
0.0000 0.1295 0.0000
0.0000 0.8688 0.5131
0.2453 0.1271 0.3431
0.2547 0.8729 0.8431
0.5000 0.1312 0.0131
0.5000 0.8705 0.5000
0.7453 0.8729 0.8431
0.7547 0.1271 0.3431
0.0000 0.6236 0.0109
0.5000 0.3764 0.5109
0.0000 0.3814 0.5077
0.2497 0.3805 0.8412
0.2503 0.6195 0.3412
0.5000 0.6186 0.0077
0.7503 0.3805 0.8412
0.7497 0.6195 0.3412
```

Properties
The total magnetic moment is 0.00 μB per formula unit. The calculated total energy is -4.659 eV/atom. Its crystal system is orthorhombic. As for the relative energy among the computed polymorphs: 12 meV/atom.


The following is a PBE-GGA calculation of a relaxed Pr12SmEr6 crystal, from the Alexandria database.

Cell and atoms, written as POSCAR:
```
Pr12SmEr6
1.0
6.1085 3.5267 5.1384
-6.1085 3.5267 5.1384
0.0000 -7.0535 5.1384
Pr Sm Er
12 1 6
direct
0.0186 0.1934 0.3645
0.1934 0.3645 0.0186
0.2171 0.4647 0.5670
0.3645 0.0186 0.1934
0.4330 0.7829 0.5353
0.4647 0.5670 0.2171
0.5353 0.4330 0.7829
0.5670 0.2171 0.4647
0.6355 0.9814 0.8066
0.7829 0.5353 0.4330
0.8066 0.6355 0.9814
0.9814 0.8066 0.6355
0.0000 0.0000 0.0000
0.1004 0.7047 0.2581
0.2581 0.1004 0.7047
0.2953 0.7419 0.8996
0.7047 0.2581 0.1004
0.7419 0.8996 0.2953
0.8996 0.2953 0.7419
```

Properties
The total magnetic moment is 0.00 μB per formula unit. The calculated total energy is -4.581 eV/atom. Its crystal system is trigonal. As for the relative energy among the computed polymorphs: 0 meV/atom.


The following is a PBE-GGA calculation of a relaxed Pr8Sm3Er crystal, from the Alexandria database.

Cell and atoms, written as POSCAR:
```
Pr8Sm3Er
1.0
-3.3801 5.6911 5.8736
3.3801 -5.6911 5.8736
3.3801 5.6911 -5.8736
Pr Sm Er
8 3 1
direct
0.0854 0.2486 0.8368
0.2362 0.2633 0.4996
0.2362 0.7367 0.9729
0.4117 0.2486 0.1632
0.5883 0.7514 0.8368
0.7638 0.2633 0.0271
0.7638 0.7367 0.5004
0.9146 0.7514 0.1632
0.2392 0.7392 0.5000
0.5000 0.5000 0.0000
0.7608 0.2608 0.5000
0.0000 0.0000 0.0000
```

Properties
The total magnetic moment is 0.00 μB per formula unit. The calculated total energy is -4.436 eV/atom. Its crystal system is orthorhombic.


The following is a PBE-GGA calculation of a relaxed Pr3SmEr3 crystal, from the Alexandria database.

Cell and atoms, written as POSCAR:
```
Pr3SmEr3
1.0
4.7076 2.7179 6.2463
-4.7076 2.7179 6.2463
0.0000 -5.4358 6.2463
Pr Sm Er
6 2 6
direct
0.1279 0.8349 0.2692
0.1651 0.7308 0.8721
0.2692 0.1279 0.8349
0.7308 0.8721 0.1651
0.8349 0.2692 0.1279
0.8721 0.1651 0.7308
0.4086 0.4086 0.4086
0.5914 0.5914 0.5914
0.0248 0.4462 0.3097
0.3097 0.0248 0.4462
0.4462 0.3097 0.0248
0.5538 0.6903 0.9752
0.6903 0.9752 0.5538
0.9752 0.5538 0.6903
```

Properties
The total magnetic moment is 0.01 μB per formula unit. The calculated total energy is -4.548 eV/atom. Its crystal system is trigonal. As for the relative energy among the computed polymorphs: 102 meV/atom.


The following is a PBE-GGA calculation of a relaxed Pr4Sm7Er crystal, from the Alexandria database.

Cell and atoms, written as POSCAR:
```
Pr4Sm7Er
1.0
8.2572 -3.0299 0.0000
8.2572 3.0299 0.0000
-4.1523 0.0000 8.3951
Pr Sm Er
4 7 1
direct
0.0758 0.0758 0.2027
0.1749 0.1749 0.8860
0.8251 0.8251 0.1140
0.9242 0.9242 0.7973
0.0000 0.0000 0.5000
0.2912 0.2912 0.6254
0.2929 0.2929 0.2776
0.4203 0.4203 0.0672
0.5797 0.5797 0.9328
0.7071 0.7071 0.7224
0.7088 0.7088 0.3746
0.5000 0.5000 0.5000
```

Properties
The total magnetic moment is 0.34 μB per formula unit. The calculated total energy is -4.507 eV/atom. Its crystal system is monoclinic. As for the relative energy among the computed polymorphs: 134 meV/atom.


The following is a PBE-GGA calculation of a relaxed Pr5Sm2Er12 crystal, from the Alexandria database.

Cell and atoms, written as POSCAR:
```
Pr5Sm2Er12
1.0
9.1854 -3.5374 0.0000
9.1854 3.5374 0.0000
-3.7430 0.0000 9.6580
Pr Sm Er
5 2 12
direct
0.0000 0.0000 0.0000
0.1884 0.1884 0.6836
0.3183 0.3183 0.2877
0.6817 0.6817 0.7123
0.8116 0.8116 0.3164
0.2774 0.7226 0.5000
0.7226 0.2774 0.5000
0.0244 0.0244 0.7441
0.0893 0.5948 0.6325
0.0907 0.5848 0.9810
0.4052 0.9107 0.3675
0.4152 0.9093 0.0190
0.4969 0.4969 0.8263
0.5031 0.5031 0.1737
0.5848 0.0907 0.9810
0.5948 0.0893 0.6325
0.9093 0.4152 0.0190
0.9107 0.4052 0.3675
0.9756 0.9756 0.2559
```

Properties
The total magnetic moment is 0.00 μB per formula unit. The calculated total energy is -4.460 eV/atom. Its crystal system is monoclinic. As for the relative energy among the computed polymorphs: 54 meV/atom.


The following is a PBE-GGA calculation of a relaxed PrSmEr3 crystal, from the Alexandria database.

Cell and atoms, written as POSCAR:
```
PrSmEr3
1.0
6.3071 0.0000 0.0000
0.0000 5.6925 0.0000
-3.1478 0.0000 9.0950
Pr Sm Er
2 2 6
direct
0.2323 0.2500 0.3004
0.7677 0.7500 0.6996
0.3653 0.7500 0.8997
0.6347 0.2500 0.1003
0.0357 0.2500 0.8996
0.1629 0.7500 0.5006
0.4332 0.2500 0.6987
0.5668 0.7500 0.3013
0.8371 0.2500 0.4994
0.9643 0.7500 0.1004
```

Properties
The total magnetic moment is 0.00 μB per formula unit. The calculated total energy is -4.621 eV/atom. Its crystal system is monoclinic. As for the relative energy among the computed polymorphs: 0 meV/atom.


The following is a PBE-GGA calculation of a relaxed PrSmEr crystal, from the Alexandria database.

Cell and atoms, written as POSCAR:
```
PrSmEr
1.0
1.8258 -9.5530 0.0000
1.8258 9.5530 0.0000
0.0000 0.0000 5.9188
Pr Sm Er
2 2 2
direct
0.2301 0.7699 0.5000
0.7699 0.2301 0.0000
0.0567 0.9433 0.2879
0.9433 0.0567 0.7879
0.4009 0.5991 0.2901
0.5991 0.4009 0.7901
```

Properties
The total magnetic moment is 0.00 μB per formula unit. The calculated total energy is -4.575 eV/atom. Its crystal system is orthorhombic. As for the relative energy among the computed polymorphs: 90 meV/atom.


The following is a PBE-GGA calculation of a relaxed Pr7Sm12Er crystal, from the Alexandria database.

Cell and atoms, written as POSCAR:
```
Pr7Sm12Er
1.0
6.1300 3.5392 5.4215
-6.1300 3.5392 5.4215
0.0000 -7.0783 5.4215
Pr Sm Er
7 12 1
direct
0.0000 0.0000 0.0000
0.1034 0.4209 0.3478
0.3478 0.1034 0.4209
0.4209 0.3478 0.1034
0.5791 0.6522 0.8966
0.6522 0.8966 0.5791
0.8966 0.5791 0.6522
0.0051 0.8844 0.3645
0.1156 0.6355 0.9949
0.2271 0.3552 0.7514
0.2486 0.7729 0.6448
0.3552 0.7514 0.2271
0.3645 0.0051 0.8844
0.6355 0.9949 0.1156
0.6448 0.2486 0.7729
0.7514 0.2271 0.3552
0.7729 0.6448 0.2486
0.8844 0.3645 0.0051
0.9949 0.1156 0.6355
0.5000 0.5000 0.5000
```

Properties
The total magnetic moment is 0.00 μB per formula unit. The calculated total energy is -4.512 eV/atom. Its crystal system is trigonal. As for the relative energy among the computed polymorphs: 0 meV/atom.


The following is a PBE-GGA calculation of a relaxed Pr12Sm6Er crystal, from the Alexandria database.

Cell and atoms, written as POSCAR:
```
Pr12Sm6Er
1.0
6.1654 3.5596 5.1567
-6.1654 3.5596 5.1567
0.0000 -7.1192 5.1567
Pr Sm Er
12 6 1
direct
0.0173 0.1924 0.3608
0.1924 0.3608 0.0173
0.2190 0.4639 0.5663
0.3608 0.0173 0.1924
0.4337 0.7810 0.5361
0.4639 0.5663 0.2190
0.5361 0.4337 0.7810
0.5663 0.2190 0.4639
0.6392 0.9827 0.8076
0.7810 0.5361 0.4337
0.8076 0.6392 0.9827
0.9827 0.8076 0.6392
0.0968 0.7018 0.2604
0.2604 0.0968 0.7018
0.2982 0.7396 0.9032
0.7018 0.2604 0.0968
0.7396 0.9032 0.2982
0.9032 0.2982 0.7396
0.0000 0.0000 0.0000
```

Properties
The total magnetic moment is 0.00 μB per formula unit. The calculated total energy is -4.624 eV/atom. Its crystal system is trigonal. As for the relative energy among the computed polymorphs: 0 meV/atom.


The following is a PBE-GGA calculation of a relaxed PrSm5Er2 crystal, from the Alexandria database.

Cell and atoms, written as POSCAR:
```
PrSm5Er2
1.0
5.7818 0.0000 0.0000
0.0000 11.4281 0.0000
-2.4260 0.0000 8.3045
Pr Sm Er
2 10 4
direct
0.0066 0.2500 0.1559
0.9934 0.7500 0.8441
0.1602 0.5767 0.2091
0.1602 0.9233 0.2091
0.2668 0.2500 0.5861
0.3063 0.5765 0.6215
0.3063 0.9235 0.6215
0.6937 0.0765 0.3785
0.6937 0.4235 0.3785
0.7332 0.7500 0.4139
0.8398 0.0767 0.7909
0.8398 0.4233 0.7909
0.3961 0.1180 0.9664
0.3961 0.3820 0.9664
0.6039 0.6180 0.0336
0.6039 0.8820 0.0336
```

Properties
The total magnetic moment is 0.00 μB per formula unit. The calculated total energy is -4.524 eV/atom. Its crystal system is monoclinic. As for the relative energy among the computed polymorphs: 147 meV/atom.


The following is a PBE-GGA calculation of a relaxed PrSm2Er crystal, from the Alexandria database.

Cell and atoms, written as POSCAR:
```
PrSm2Er
1.0
-2.5677 2.5677 5.0856
2.5677 -2.5677 5.0856
2.5677 2.5677 -5.0856
Pr Sm Er
1 2 1
direct
0.0000 0.0000 0.0000
0.5000 0.5000 0.0000
0.7500 0.2500 0.5000
0.2500 0.7500 0.5000
```

Properties
The total magnetic moment is 0.00 μB per formula unit. The calculated total energy is -4.677 eV/atom. Its crystal system is tetragonal. As for the relative energy among the computed polymorphs: 0 meV/atom.


The following is a PBE-GGA calculation of a relaxed Pr2Sm7Er crystal, from the Alexandria database.

Cell and atoms, written as POSCAR:
```
Pr2Sm7Er
1.0
6.2908 0.0000 0.0000
-1.0509 6.2037 0.0000
-2.0970 -3.5390 8.6889
Pr Sm Er
2 7 1
direct
0.1016 0.1993 0.2018
0.8984 0.8007 0.7982
0.2001 0.4007 0.8987
0.2977 0.5988 0.5991
0.4022 0.8013 0.3020
0.5000 0.0000 0.0000
0.5978 0.1987 0.6980
0.7023 0.4012 0.4009
0.7999 0.5993 0.1013
0.0000 0.0000 0.5000
```

Properties
The total magnetic moment is 0.00 μB per formula unit. The calculated total energy is -4.699 eV/atom. Its crystal system is triclinic. As for the relative energy among the computed polymorphs: 0 meV/atom.


The following is a PBE-GGA calculation of a relaxed PrSm2Er crystal, from the Alexandria database.

Cell and atoms, written as POSCAR:
```
PrSm2Er
1.0
4.2623 0.0000 0.0000
0.0000 4.2623 0.0000
0.0000 0.0000 7.4218
Pr Sm Er
1 2 1
direct
0.0000 0.0000 0.0000
0.5000 0.5000 0.2584
0.5000 0.5000 0.7416
0.0000 0.0000 0.5000
```

Properties
The total magnetic moment is 0.00 μB per formula unit. The calculated total energy is -4.576 eV/atom. Its crystal system is tetragonal. As for the relative energy among the computed polymorphs: 102 meV/atom.


The following is a PBE-GGA calculation of a relaxed Pr5Sm3Er2 crystal, from the Alexandria database.

Cell and atoms, written as POSCAR:
```
Pr5Sm3Er2
1.0
5.4323 -7.4760 0.0000
5.4323 7.4760 0.0000
-5.4318 0.0000 8.5821
Pr Sm Er
10 6 4
direct
0.0223 0.9777 0.7500
0.1302 0.3759 0.7529
0.2313 0.7687 0.7500
0.2730 0.7270 0.2500
0.3759 0.1302 0.2529
0.6241 0.8698 0.7471
0.7270 0.2730 0.7500
0.7687 0.2313 0.2500
0.8698 0.6241 0.2471
0.9777 0.0223 0.2500
0.0285 0.2787 0.0574
0.2787 0.0285 0.5574
0.4801 0.5199 0.2500
0.5199 0.4801 0.7500
0.7213 0.9715 0.4426
0.9715 0.7213 0.9426
0.2231 0.4688 0.4415
0.4688 0.2231 0.9415
0.5312 0.7769 0.0585
0.7769 0.5312 0.5585
```

Properties
The total magnetic moment is 0.00 μB per formula unit. The calculated total energy is -4.550 eV/atom. Its crystal system is monoclinic.


The following is a PBE-GGA calculation of a relaxed Pr5Sm6Er crystal, from the Alexandria database.

Cell and atoms, written as POSCAR:
```
Pr5Sm6Er
1.0
3.1660 -5.4813 0.0000
3.1660 5.4813 0.0000
-2.1149 0.0000 11.9379
Pr Sm Er
5 6 1
direct
0.0000 0.0000 0.0000
0.1667 0.8333 0.5000
0.3334 0.6666 0.0000
0.6666 0.3334 0.0000
0.8333 0.1667 0.5000
0.0850 0.4168 0.2517
0.2514 0.2514 0.7484
0.4168 0.0850 0.2517
0.5832 0.9150 0.7483
0.7486 0.7486 0.2516
0.9150 0.5832 0.7483
0.5000 0.5000 0.5000
```

Properties
The total magnetic moment is 0.00 μB per formula unit. The calculated total energy is -4.717 eV/atom. Its crystal system is monoclinic.


The following is a PBE-GGA calculation of a relaxed Pr4Sm6Er crystal, from the Alexandria database.

Cell and atoms, written as POSCAR:
```
Pr4Sm6Er
1.0
-3.8362 3.8362 6.7963
3.8362 -3.8362 6.7963
3.8362 3.8362 -6.7963
Pr Sm Er
4 6 1
direct
0.2454 0.2454 0.6496
0.4042 0.7546 0.0000
0.5958 0.5958 0.3504
0.7546 0.4042 0.0000
0.0000 0.5000 0.5000
0.0407 0.5868 0.0000
0.4132 0.4132 0.4538
0.5000 0.0000 0.5000
0.5868 0.0407 0.0000
0.9593 0.9593 0.5462
0.0000 0.0000 0.0000
```

Properties
The total magnetic moment is 0.00 μB per formula unit. The calculated total energy is -4.334 eV/atom. Its crystal system is tetragonal. As for the relative energy among the computed polymorphs: 0 meV/atom.


The following is a PBE-GGA calculation of a relaxed Pr4SmEr15 crystal, from the Alexandria database.

Cell and atoms, written as POSCAR:
```
Pr4SmEr15
1.0
5.0350 0.0000 0.0000
0.0000 5.0350 0.0000
0.0000 0.0000 25.0194
Pr Sm Er
4 1 15
direct
0.0000 0.0000 0.1002
0.0000 0.0000 0.3002
0.0000 0.0000 0.6998
0.0000 0.0000 0.8998
0.0000 0.0000 0.5000
0.0000 0.5000 0.0000
0.0000 0.5000 0.2003
0.0000 0.5000 0.4008
0.0000 0.5000 0.5992
0.0000 0.5000 0.7997
0.5000 0.0000 0.0000
0.5000 0.0000 0.2003
0.5000 0.0000 0.4008
0.5000 0.0000 0.5992
0.5000 0.0000 0.7997
0.5000 0.5000 0.1001
0.5000 0.5000 0.3005
0.5000 0.5000 0.5000
0.5000 0.5000 0.6995
0.5000 0.5000 0.8999
```

Properties
The total magnetic moment is 0.00 μB per formula unit. The calculated total energy is -4.589 eV/atom. Its crystal system is tetragonal.


The following is a PBE-GGA calculation of a relaxed PrSm3Er crystal, from the Alexandria database.

Cell and atoms, written as POSCAR:
```
PrSm3Er
1.0
4.0484 -6.9887 0.0000
4.0484 6.9887 0.0000
0.0000 0.0000 6.2186
Pr Sm Er
2 6 2
direct
0.2017 0.7983 0.7500
0.7983 0.2017 0.2500
0.0000 0.0000 0.0000
0.0000 0.0000 0.5000
0.2042 0.4000 0.7500
0.4000 0.2042 0.2500
0.6000 0.7958 0.7500
0.7958 0.6000 0.2500
0.3390 0.6610 0.2500
0.6610 0.3390 0.7500
```

Properties
The total magnetic moment is 0.00 μB per formula unit. The calculated total energy is -4.367 eV/atom. Its crystal system is orthorhombic. As for the relative energy among the computed polymorphs: 273 meV/atom.